# La2TlAgC

A geometry-optimized La2TlAgC structure (PBE, the Alexandria database).

space group: P4/mmm
volume: 124.2 Å³/f.u.
DFT formation energy: -65 meV/atom
ρ: 8.1 Mg/m³
D(E_F): 5.35 states/eV per cell
crystal system: tetragonal

```
data_La2TlAgC
_chemical_formula_sum 'La2 Tl1 Ag1 C1'
_symmetry_space_group_name_H-M 'P 1'
_symmetry_Int_Tables_number 1
_symmetry_space_group_name_Hall 'P 1'
_cell_length_a 5.302
_cell_length_b 5.302
_cell_length_c 4.417
_cell_angle_alpha 90.00
_cell_angle_beta 90.00
_cell_angle_gamma 90.00
loop_
_atom_site_label
_atom_site_type_symbol
_atom_site_fract_x
_atom_site_fract_y
_atom_site_fract_z
La1 La 0.000 0.500 0.000
La2 La 0.500 0.000 0.000
Tl1 Tl 0.000 0.000 0.500
Ag1 Ag 0.500 0.500 0.500
C1 C 0.500 0.500 0.000
```

***

# LaYAg2C

A geometry-optimized LaYAg2C structure (PBE, the Alexandria database).

space group: P4/mmm
volume: 190.8 Å³/f.u.
DFT formation energy: 2270 meV/atom
ρ: 4.0 Mg/m³
D(E_F): 4.35 states/eV per cell
crystal system: tetragonal

```
data_LaYAg2C
_chemical_formula_sum 'La1 Y1 Ag2 C1'
_symmetry_space_group_name_H-M 'P 1'
_symmetry_Int_Tables_number 1
_symmetry_space_group_name_Hall 'P 1'
_cell_length_a 5.499
_cell_length_b 5.499
_cell_length_c 6.309
_cell_angle_alpha 90.00
_cell_angle_beta 90.00
_cell_angle_gamma 90.00
loop_
_atom_site_label
_atom_site_type_symbol
_atom_site_fract_x
_atom_site_fract_y
_atom_site_fract_z
La1 La 0.000 0.000 0.000
Y1 Y 0.000 0.000 0.500
Ag1 Ag 0.000 0.500 0.000
Ag2 Ag 0.500 0.000 0.000
C1 C 0.500 0.500 0.500
```

***

# La2ZnAgC

A geometry-optimized La2ZnAgC structure (PBE, the Alexandria database).

space group: P4/mmm
volume: 114.8 Å³/f.u.
DFT formation energy: -86 meV/atom
ρ: 6.7 Mg/m³
D(E_F): 5.23 states/eV per cell
crystal system: tetragonal

```
data_La2ZnAgC
_chemical_formula_sum 'La2 Zn1 Ag1 C1'
_symmetry_space_group_name_H-M 'P 1'
_symmetry_Int_Tables_number 1
_symmetry_space_group_name_Hall 'P 1'
_cell_length_a 5.373
_cell_length_b 5.373
_cell_length_c 3.977
_cell_angle_alpha 90.00
_cell_angle_beta 90.00
_cell_angle_gamma 90.00
loop_
_atom_site_label
_atom_site_type_symbol
_atom_site_fract_x
_atom_site_fract_y
_atom_site_fract_z
La1 La 0.000 0.500 0.000
La2 La 0.500 0.000 0.000
Zn1 Zn 0.000 0.000 0.500
Ag1 Ag 0.500 0.500 0.500
C1 C 0.000 0.000 0.000
```

***

# LiAg2C

A geometry-optimized LiAg2C structure (PBE, the Alexandria database).

space group: I4_1/amd
volume: 89.9 Å³/f.u.
DFT formation energy: 978 meV/atom
ρ: 4.3 Mg/m³
D(E_F): 3.67 states/eV per cell
crystal system: tetragonal

```
data_LiAg2C
_chemical_formula_sum 'Li2 Ag4 C2'
_symmetry_space_group_name_H-M 'P 1'
_symmetry_Int_Tables_number 1
_symmetry_space_group_name_Hall 'P 1'
_cell_length_a 7.389
_cell_length_b 7.389
_cell_length_c 7.389
_cell_angle_alpha 137.82
_cell_angle_beta 137.82
_cell_angle_gamma 61.18
loop_
_atom_site_label
_atom_site_type_symbol
_atom_site_fract_x
_atom_site_fract_y
_atom_site_fract_z
Li1 Li 0.375 0.625 0.750
Li2 Li 0.625 0.375 0.250
Ag1 Ag 0.000 0.000 0.000
Ag2 Ag 0.000 0.000 0.500
Ag3 Ag 0.000 0.500 0.000
Ag4 Ag 0.500 0.000 0.500
C1 C 0.125 0.875 0.250
C2 C 0.875 0.125 0.750
```

***

# LiAgC3

A geometry-optimized LiAgC3 structure (PBE, the Alexandria database).

space group: Pm-3m
volume: 53.4 Å³/f.u.
DFT formation energy: 2887 meV/atom
energy above the lowest structure with this stoichiometry: 0 meV/atom
ρ: 4.7 Mg/m³
D(E_F): 1.94 states/eV per cell
crystal system: cubic

```
data_LiAgC3
_chemical_formula_sum 'Li1 Ag1 C3'
_symmetry_space_group_name_H-M 'P 1'
_symmetry_Int_Tables_number 1
_symmetry_space_group_name_Hall 'P 1'
_cell_length_a 3.765
_cell_length_b 3.765
_cell_length_c 3.765
_cell_angle_alpha 90.00
_cell_angle_beta 90.00
_cell_angle_gamma 90.00
loop_
_atom_site_label
_atom_site_type_symbol
_atom_site_fract_x
_atom_site_fract_y
_atom_site_fract_z
Li1 Li 0.000 0.000 0.000
Ag1 Ag 0.500 0.500 0.500
C1 C 0.000 0.000 0.500
C2 C 0.000 0.500 0.000
C3 C 0.500 0.000 0.000
```

***

# LiAg3C

A geometry-optimized LiAg3C structure (PBE, the Alexandria database).

space group: Pm-3m
volume: 81.6 Å³/f.u.
DFT formation energy: 482 meV/atom
energy above the lowest structure with this stoichiometry: 0 meV/atom
ρ: 7.0 Mg/m³
D(E_F): 0.42 states/eV per cell
crystal system: cubic

```
data_LiAg3C
_chemical_formula_sum 'Li1 Ag3 C1'
_symmetry_space_group_name_H-M 'P 1'
_symmetry_Int_Tables_number 1
_symmetry_space_group_name_Hall 'P 1'
_cell_length_a 4.337
_cell_length_b 4.337
_cell_length_c 4.337
_cell_angle_alpha 90.00
_cell_angle_beta 90.00
_cell_angle_gamma 90.00
loop_
_atom_site_label
_atom_site_type_symbol
_atom_site_fract_x
_atom_site_fract_y
_atom_site_fract_z
Li1 Li 0.000 0.000 0.000
Ag1 Ag 0.000 0.500 0.500
Ag2 Ag 0.500 0.000 0.500
Ag3 Ag 0.500 0.500 0.000
C1 C 0.500 0.500 0.500
```